(1)
CrCoAs2Se: optimized geometry, PBE.

a b c (Å): 4.6264 4.6264 4.7069
angles (deg): 90.00 90.00 90.00
With the nearest neighbours (Å) after each atom.
Space group P4/mmm (No. 123)
Asymmetric unit:
Cr  0.0000  0.0000  0.0000 [1 per cell]  4 As 2.31, 2 Se 2.35
Co  0.5000  0.5000  0.5000 [1 per cell]  4 Se 3.27, 8 As 3.30
As  0.0000  0.5000  0.0000 [2 per cell]  2 Cr 2.31
Se  0.0000  0.0000  0.5000 [1 per cell]  2 Cr 2.35

Formation energy (no corrections) = 803 meV per atom

***

(2)
CrCo2TcAs: optimized geometry, PBE.

a b c (Å): 4.4137 4.4137 4.6300
angles (deg): 90.00 90.00 90.00
With the nearest neighbours (Å) after each atom.
Space group P4/mmm (No. 123)
Asymmetric unit:
Cr  0.0000  0.0000  0.0000 [1 per cell]  4 As 3.12, 8 Co 3.20
Co  0.0000  0.5000  0.5000 [2 per cell]  2 Tc 2.21
Tc  0.5000  0.5000  0.5000 [1 per cell]  4 Co 2.21, 2 As 2.32
As  0.5000  0.5000  0.0000 [1 per cell]  2 Tc 2.32

Energy of formation = 1529 meV/atom

***

(3)
Th2CrCo3As4: optimized geometry, PBE.

a b c (Å): 4.1829 4.1829 9.6274
angles (deg): 90.00 90.00 90.00
With the nearest neighbours (Å) after each atom.
Space group P-4m2 (No. 115)
Asymmetric unit:
Th  0.0000  0.5000  0.2432 [2 per cell]  8 As 3.14-3.16, 7 Co 3.21-3.43, 2 Cr 3.24
Cr  0.0000  0.0000  0.5000 [1 per cell]  4 As 2.49
Co  0.0000  0.5000  0.8871 [2 per cell]  5 As 2.36-2.38
Co  0.5000  0.5000  0.5000 [1 per cell]  4 As 2.49
As  0.0000  0.0000  0.0000 [1 per cell]  4 Co 2.36
As  0.0000  0.5000  0.6401 [2 per cell]  3 Co 2.38-2.49, 2 Cr 2.49
As  0.5000  0.5000  0.0000 [1 per cell]  4 Co 2.36

Energy of formation = -722 meV/atom